Here is a geometry-optimized HoGa2Rh2 structure from the Alexandria database. Energies are from PBE-GGA.

POSCAR file:
```
HoGa2Rh2
1.0
5.7825 -0.5024 0.0000
-3.1257 4.8908 0.0000
-1.3284 -2.1942 7.0128
Rh Ga Ho
4 4 2
Cartesian
-1.5628 2.4454 1.9846
1.3284 2.1942 5.4910
0.0000 0.0000 1.5217
-1.5629 2.4454 5.0281
-3.2545 3.4696 3.5064
0.1288 1.4212 3.5064
4.0908 0.5218 0.0000
-1.4340 3.8666 0.0000
2.8912 -0.2512 3.5064
1.3284 2.1942 0.0000
```

Values from the calculation:
E in eV/atom: -5.8351

***

Here is a geometry-optimized HoGa2Rh structure from the Alexandria database. Energies are from PBE-GGA.

POSCAR file:
```
HoGa2Rh
1.0
-2.4862 1.8895 0.8476
0.2541 -1.0360 3.0548
4.3397 5.0966 1.3675
Ho Rh Ga
1 1 2
Cartesian
1.0538 2.9750 2.6350
-1.1161 0.4267 1.9512
0.8659 1.0170 0.2729
3.4738 4.0796 1.0947
```

Values from the calculation:
E in eV/atom: -5.0778

***

Here is a geometry-optimized Ho12Ga6Rh structure from the Alexandria database. Energies are from PBE-GGA.

POSCAR file:
```
Ho12Ga6Rh
1.0
-6.6838 -4.7540 -1.5544
6.0373 -5.4593 -1.8538
0.1664 -0.5347 8.3293
Ho Ga Rh
12 6 1
Cartesian
5.3641 -5.7343 0.7641
-4.4697 -6.3275 -1.4910
0.5925 -5.2390 -0.2069
-1.5407 -2.4092 7.3526
-2.6292 -3.9225 2.3541
2.1491 -6.8256 2.5670
1.0607 -8.3388 -2.4315
-5.8442 -5.0138 4.1570
-1.9508 -7.2379 1.2665
1.4707 -3.5102 3.6546
3.9896 -4.4205 6.4121
-1.0725 -5.5091 5.1280
-3.3719 -6.5544 3.7696
0.6150 -8.2425 0.4715
-1.0951 -2.5056 4.4495
-2.3045 -4.6699 -0.3956
2.8918 -4.1937 1.1515
1.8245 -6.0781 5.3167
0.0000 0.0000 0.0000
```

Values from the calculation:
E in eV/atom: -4.5071

***

Here is a geometry-optimized Ho8Ga2Rh structure from the Alexandria database. Energies are from PBE-GGA.

POSCAR file:
```
Ho8Ga2Rh
1.0
4.9134 0.0000 0.0000
0.0000 6.5438 0.3781
-2.4567 -2.3101 8.8212
Ga Ho Rh
2 8 1
Cartesian
2.4567 0.1408 5.5840
0.0000 4.0928 3.6154
0.0000 -1.4810 6.1579
2.4567 2.5724 1.7621
0.0000 1.1231 3.8236
2.4567 3.1105 5.3758
2.4567 5.7147 3.0415
0.0000 4.9808 0.7197
0.0000 1.6613 7.4372
2.4567 -0.7472 8.4796
2.4567 0.0000 0.0000
```

Values from the calculation:
E in eV/atom: -4.9271

***

Here is a geometry-optimized Ho3Ga2Rh5 structure from the Alexandria database. Energies are from PBE-GGA.

POSCAR file:
```
Ho3Ga2Rh5
1.0
-2.8597 1.8545 -1.1344
-5.9010 -5.4766 5.9226
1.3281 6.5784 7.4063
Rh Ga Ho
10 4 6
Cartesian
-3.5764 0.4770 4.1080
-4.3804 -1.8110 2.3941
-2.3731 3.1060 5.3725
-6.6290 -2.7670 6.4999
-3.8562 2.4793 8.0865
-2.5835 0.2378 1.2140
-0.8035 5.7233 5.6946
-0.7658 4.2165 3.1359
-4.8490 2.7185 10.9805
-5.0594 -0.1496 6.8220
-4.6730 -2.3233 7.9818
-2.0589 -1.2515 3.1443
0.1001 3.4251 5.3471
-2.5140 2.3533 10.1846
0.0000 0.0000 0.0000
-0.5861 1.2045 3.4466
-2.2864 0.5509 6.6645
-0.8316 3.6496 8.0626
-3.9868 -0.1027 9.8824
-3.7413 -2.5478 5.2663
```

Values from the calculation:
E in eV/atom: -6.5043

***

Here is a geometry-optimized HoGaRh2 structure from the Alexandria database. Energies are from PBE-GGA.

POSCAR file:
```
HoGaRh2
1.0
3.2743 0.0000 0.0000
0.0000 3.2743 0.0000
0.0000 0.0000 6.2753
Rh Ga Ho
2 1 1
Cartesian
0.0000 0.0000 1.3947
0.0000 0.0000 4.8806
1.6372 1.6372 0.0000
1.6372 1.6372 3.1376
```

Values from the calculation:
E in eV/atom: -6.3512